1.
This record from Alexandria describes an optimized crystal structure of Y2FeAu. The functional is PBE-GGA.

Cell and atoms, written as CIF:
```
data_Y2FeAu
_chemical_formula_sum 'Y4 Fe2 Au2'
_space_group_name_H-M_alt 'C m m m'
_space_group_IT_number 65
_space_group_name_Hall '-C 2 2'
_cell_length_a 7.032
_cell_length_b 7.041
_cell_length_c 3.551
_cell_angle_alpha 90.00
_cell_angle_beta 90.00
_cell_angle_gamma 90.00
loop_
_atom_site_label
_atom_site_fract_x
_atom_site_fract_y
_atom_site_fract_z
Y1 0.250 0.250 0.000
Fe1 0.000 0.000 0.500
Au1 0.000 0.500 0.500
```

Summary:
ΔH_f (0 K) = -293 meV per atom
E = -6.460 eV/atom


2.
This record from Alexandria describes an optimized crystal structure of La2HfH. The functional is PBE-GGA.

Cell and atoms, written as CIF:
```
data_La2HfH
_chemical_formula_sum 'La8 Hf4 H4'
_space_group_name_H-M_alt 'F m -3 m'
_space_group_IT_number 225
_space_group_name_Hall '-F 4 2 3'
_cell_length_a 7.390
_cell_length_b 7.390
_cell_length_c 7.390
_cell_angle_alpha 90.00
_cell_angle_beta 90.00
_cell_angle_gamma 90.00
loop_
_atom_site_label
_atom_site_fract_x
_atom_site_fract_y
_atom_site_fract_z
La1 0.250 0.250 0.250
Hf1 0.000 0.000 0.000
H1 0.000 0.000 0.500
```

Summary:
Energy above the lowest structure with this stoichiometry = 0.5080 eV per atom
E = -5.110 eV/atom


3.
This record from Alexandria describes an optimized crystal structure of MgRuOF2. The functional is PBE-GGA.

Cell and atoms, written as CIF:
```
data_MgRuOF2
_chemical_formula_sum 'Mg1 Ru1 O1 F2'
_space_group_name_H-M_alt 'P 4/m m m'
_space_group_IT_number 123
_space_group_name_Hall '-P 4 2'
_cell_length_a 4.403
_cell_length_b 4.403
_cell_length_c 3.723
_cell_angle_alpha 90.00
_cell_angle_beta 90.00
_cell_angle_gamma 90.00
loop_
_atom_site_label
_atom_site_fract_x
_atom_site_fract_y
_atom_site_fract_z
Mg1 0.000 0.000 0.000
Ru1 0.500 0.500 0.500
O1 0.500 0.500 0.000
F1 0.000 0.500 0.500
```

Summary:
Energy above the lowest structure with this stoichiometry = 0.2754 eV per atom
E_form (uncorrected) = -108.5 kJ per mole of atoms
E = -5.039 eV/atom


4.
This record from Alexandria describes an optimized crystal structure of Rb4Ac3PaS8. The functional is PBE-GGA.

Cell and atoms, written as CIF:
```
data_Rb4Ac3PaS8
_chemical_formula_sum 'Rb12 Ac9 Pa3 S24'
_space_group_name_H-M_alt 'R -3 m'
_space_group_IT_number 166
_space_group_name_Hall '-R 3 2"'
_cell_length_a 8.7447
_cell_length_b 8.7447
_cell_length_c 23.2329
_cell_angle_alpha 90.00
_cell_angle_beta 90.00
_cell_angle_gamma 120.00
loop_
_atom_site_label
_atom_site_fract_x
_atom_site_fract_y
_atom_site_fract_z
Rb1 0.0000 0.0000 0.0000
Rb2 0.0000 0.5000 0.0000
Ac1 0.0000 0.5000 0.5000
Pa1 0.0000 0.0000 0.5000
S1 0.0000 0.0000 0.2364
S2 0.0198 0.5099 0.2329
```

Summary:
E_form (uncorrected) = -167.6 kJ per mole of atoms
E = -5.407 eV/atom


5.
This record from Alexandria describes an optimized crystal structure of PrY2Hg2. The functional is PBE-GGA.

Cell and atoms, written as CIF:
```
data_PrY2Hg2
_chemical_formula_sum 'Pr2 Y4 Hg4'
_space_group_name_H-M_alt 'P 1 21/m 1'
_space_group_IT_number 11
_space_group_name_Hall '-P 2yb'
_cell_length_a 3.773
_cell_length_b 5.425
_cell_length_c 13.967
_cell_angle_alpha 90.00
_cell_angle_beta 97.76
_cell_angle_gamma 90.00
loop_
_atom_site_label
_atom_site_fract_x
_atom_site_fract_y
_atom_site_fract_z
Pr1 0.147 0.250 0.291
Y1 0.049 0.750 0.096
Y2 0.236 0.750 0.471
Hg1 0.355 0.250 0.712
Hg2 0.456 0.750 0.911
```

Summary:
ΔH_f (0 K) = -389 meV per atom
E = -4.052 eV/atom


6.
This record from Alexandria describes an optimized crystal structure of ScCo2Ir. The functional is PBE-GGA.

Cell and atoms, written as CIF:
```
data_ScCo2Ir
_chemical_formula_sum 'Sc2 Co4 Ir2'
_space_group_name_H-M_alt 'I -4 m 2'
_space_group_IT_number 119
_space_group_name_Hall 'I -4 -2'
_cell_length_a 3.809
_cell_length_b 3.809
_cell_length_c 7.737
_cell_angle_alpha 90.00
_cell_angle_beta 90.00
_cell_angle_gamma 90.00
loop_
_atom_site_label
_atom_site_fract_x
_atom_site_fract_y
_atom_site_fract_z
Sc1 0.000 0.000 0.000
Co1 0.000 0.000 0.500
Co2 0.000 0.500 0.750
Ir1 0.000 0.500 0.250
```

Summary:
ΔH_f (0 K) = -196 meV per atom
E = -7.547 eV/atom


no.,density of states at the Fermi level (states/eV/cell),spin magnetization (μB per formula unit)
1,14.6,1.59
2,21.1,1.00
3,3.2,0.63
4,24.1,1.90
5,10.5,0.00
6,12.4,3.17